VASP calculation (SCAN) on a crystal of Sb2Se relaxed with PBEsol.

The formation energy (no corrections) comes out at 0.3228 eV per atom.

The space group is P6_3/mmc (No. 194) and the conventional cell measures 5.2213, 5.2213 and 6.1112 Å, with angles of 90.00, 90.00 and 120.00 degrees. The distinct sites, in fractional coordinates, are Sb at (0.0000, 0.0000, 0.0000), Sb at (0.3333, 0.6667, 0.2500) and Se at (0.3333, 0.6667, 0.7500).

***

VASP calculation (SCAN) on a crystal of Sb2Se relaxed with PBEsol.

The formation energy (no corrections) comes out at 0.1087 eV per atom.

The space group is Pnnm (No. 58) and the conventional cell measures 4.2122, 9.3582 and 4.0236 Å, with angles of 90.00, 90.00 and 90.00 degrees. The distinct sites, in fractional coordinates, are Sb at (0.2188, 0.1922, 0.0000) and Se at (0.0000, 0.5000, 0.0000).

***

VASP calculation (SCAN) on a crystal of SbSe2 relaxed with PBEsol.

The formation energy (no corrections) comes out at -0.1170 eV per atom.

The space group is P-3m1 (No. 164) and the conventional cell measures 3.8581, 3.8581 and 5.7849 Å, with angles of 90.00, 90.00 and 120.00 degrees. The distinct sites, in fractional coordinates, are Sb at (0.0000, 0.0000, 0.0000) and Se at (0.3333, 0.6667, 0.7081).

***

E_tot, record by record: -31.21, -31.42, -25.92 eV per atom